Entry 1:
Y2TeH2 | PBE-GGA | relaxed

Geometry as CIF:
```
data_Y2TeH2
_cell_length_a 3.777
_cell_length_b 3.777
_cell_length_c 12.446
_cell_angle_alpha 90.00
_cell_angle_beta 90.00
_cell_angle_gamma 90.00
_symmetry_space_group_name_H-M 'I 4/m m m'
_symmetry_Int_Tables_number 139
_symmetry_space_group_name_Hall '-I 4 2'
loop_
_atom_site_label
_atom_site_type_symbol
_atom_site_fract_x
_atom_site_fract_y
_atom_site_fract_z
_atom_site_occupancy
Y1 Y 0.000 0.000 0.145 1
Te1 Te 0.000 0.000 0.500 1
H1 H 0.000 0.500 0.250 1
```

- DFT total energy: -5.40 eV/atom
- Total magnetization: 0.0 Bohr magnetons per cell

***

Entry 2:
CdW2Se | PBE-GGA | relaxed

Geometry as CIF:
```
data_CdW2Se
_cell_length_a 3.165
_cell_length_b 3.165
_cell_length_c 7.670
_cell_angle_alpha 90.00
_cell_angle_beta 90.00
_cell_angle_gamma 90.00
_symmetry_space_group_name_H-M 'P 4 m m'
_symmetry_Int_Tables_number 99
loop_
_symmetry_equiv_pos_as_xyz
'x,y,z'
'-y,x,z'
'-x,-y,z'
'y,-x,z'
'-x,y,z'
'y,x,z'
'x,-y,z'
'-y,-x,z'
loop_
_atom_site_label
_atom_site_type_symbol
_atom_site_fract_x
_atom_site_fract_y
_atom_site_fract_z
_atom_site_occupancy
Cd1 Cd 0.000 0.000 0.000 1
W1 W 0.000 0.000 0.542 1
W2 W 0.500 0.500 0.744 1
Se1 Se 0.500 0.500 0.354 1
```

- Energy relative to the elements, uncorrected: 0.346 eV/atom
- DFT total energy: -7.23 eV/atom
- Total magnetization: 0.0 Bohr magnetons per cell

***

Entry 3:
Ba8Fe3N8 | PBE-GGA | relaxed

Geometry as CIF:
```
data_Ba8Fe3N8
_cell_length_a 19.816
_cell_length_b 5.721
_cell_length_c 7.877
_cell_angle_alpha 90.00
_cell_angle_beta 105.79
_cell_angle_gamma 90.00
_symmetry_space_group_name_H-M 'C 1 2/m 1'
_symmetry_Int_Tables_number 12
loop_
_symmetry_equiv_pos_as_xyz
'x,y,z'
'-x,-y,-z'
'-x,y,-z'
'x,-y,z'
'x+1/2,y+1/2,z'
'-x+1/2,-y+1/2,-z'
'-x+1/2,y+1/2,-z'
'x+1/2,-y+1/2,z'
loop_
_atom_site_label
_atom_site_type_symbol
_atom_site_fract_x
_atom_site_fract_y
_atom_site_fract_z
_atom_site_occupancy
Ba1 Ba 0.030 0.000 0.272 1
Ba2 Ba 0.100 0.500 0.948 1
Ba3 Ba 0.167 0.500 0.469 1
Ba4 Ba 0.203 0.000 0.804 1
Fe1 Fe 0.000 0.500 0.500 1
Fe2 Fe 0.187 0.000 0.202 1
N1 N 0.022 0.500 0.301 1
N2 N 0.111 0.000 0.023 1
N3 N 0.179 0.000 0.416 1
N4 N 0.229 0.500 0.833 1
```

- Energy relative to the elements, uncorrected: -0.493 eV/atom
- DFT total energy: -6.14 eV/atom
- Total magnetization: 11.5 Bohr magnetons per cell

***

Entry 4:
Y2MoPt | PBE-GGA | relaxed

Geometry as CIF:
```
data_Y2MoPt
_cell_length_a 6.878
_cell_length_b 6.878
_cell_length_c 6.878
_cell_angle_alpha 90.00
_cell_angle_beta 90.00
_cell_angle_gamma 90.00
_symmetry_space_group_name_H-M 'F -4 3 m'
_symmetry_Int_Tables_number 216
_symmetry_space_group_name_Hall 'F -4 2 3'
loop_
_atom_site_label
_atom_site_type_symbol
_atom_site_fract_x
_atom_site_fract_y
_atom_site_fract_z
_atom_site_occupancy
Y1 Y 0.000 0.000 0.000 1
Y2 Y 0.250 0.250 0.250 1
Mo1 Mo 0.250 0.250 0.750 1
Pt1 Pt 0.000 0.000 0.500 1
```

- DFT formation energy: 50 meV/atom
- DFT total energy: -7.40 eV/atom
- Total magnetization: 0.0 Bohr magnetons per cell

***

Entry 5:
Be2InReAg | PBE-GGA | relaxed

Geometry as CIF:
```
data_Be2InReAg
_cell_length_a 4.222
_cell_length_b 4.222
_cell_length_c 5.119
_cell_angle_alpha 90.00
_cell_angle_beta 90.00
_cell_angle_gamma 90.00
_symmetry_space_group_name_H-M 'P 4/m m m'
_symmetry_Int_Tables_number 123
_symmetry_space_group_name_Hall '-P 4 2'
loop_
_atom_site_label
_atom_site_type_symbol
_atom_site_fract_x
_atom_site_fract_y
_atom_site_fract_z
_atom_site_occupancy
Be1 Be 0.000 0.500 0.000 1
In1 In 0.000 0.000 0.500 1
Re1 Re 0.500 0.500 0.500 1
Ag1 Ag 0.500 0.500 0.000 1
```

- DFT formation energy: 1304 meV/atom
- DFT total energy: -3.79 eV/atom
- Total magnetization: 1.4 Bohr magnetons per cell

***

Entry 6:
Mg2TaMo | PBE-GGA | relaxed

Geometry as CIF:
```
data_Mg2TaMo
_cell_length_a 2.781
_cell_length_b 4.698
_cell_length_c 5.500
_cell_angle_alpha 90.00
_cell_angle_beta 90.00
_cell_angle_gamma 90.00
_symmetry_space_group_name_H-M 'P m m m'
_symmetry_Int_Tables_number 47
loop_
_symmetry_equiv_pos_as_xyz
'x,y,z'
'-x,-y,-z'
'-x,-y,z'
'x,y,-z'
'x,-y,-z'
'-x,y,z'
'-x,y,-z'
'x,-y,z'
loop_
_atom_site_label
_atom_site_type_symbol
_atom_site_fract_x
_atom_site_fract_y
_atom_site_fract_z
_atom_site_occupancy
Mg1 Mg 0.000 0.000 0.245 1
Ta1 Ta 0.500 0.500 0.500 1
Mo1 Mo 0.500 0.500 0.000 1
```

- DFT formation energy: 318 meV/atom
- DFT total energy: -6.15 eV/atom
- Total magnetization: 0.0 Bohr magnetons per cell

***

Entry 7:
ThHgBi | PBE-GGA | relaxed

Geometry as CIF:
```
data_ThHgBi
_cell_length_a 4.097
_cell_length_b 4.097
_cell_length_c 10.391
_cell_angle_alpha 90.00
_cell_angle_beta 90.00
_cell_angle_gamma 90.00
_symmetry_space_group_name_H-M 'I 4 m m'
_symmetry_Int_Tables_number 107
_symmetry_space_group_name_Hall 'I 4 -2'
loop_
_atom_site_label
_atom_site_type_symbol
_atom_site_fract_x
_atom_site_fract_y
_atom_site_fract_z
_atom_site_occupancy
Th1 Th 0.000 0.000 0.000 1
Hg1 Hg 0.000 0.000 0.332 1
Bi1 Bi 0.000 0.000 0.670 1
```

- DFT formation energy: -253 meV/atom
- DFT total energy: -4.12 eV/atom
- Total magnetization: 0.0 Bohr magnetons per cell

***

Entry 8:
PuCuNiBi | PBE-GGA | relaxed

Geometry as CIF:
```
data_PuCuNiBi
_cell_length_a 6.759
_cell_length_b 6.759
_cell_length_c 6.759
_cell_angle_alpha 90.00
_cell_angle_beta 90.00
_cell_angle_gamma 90.00
_symmetry_space_group_name_H-M 'F -4 3 m'
_symmetry_Int_Tables_number 216
_symmetry_space_group_name_Hall 'F -4 2 3'
loop_
_atom_site_label
_atom_site_type_symbol
_atom_site_fract_x
_atom_site_fract_y
_atom_site_fract_z
_atom_site_occupancy
Pu1 Pu 0.000 0.000 0.000 1
Cu1 Cu 0.250 0.250 0.750 1
Ni1 Ni 0.250 0.250 0.250 1
Bi1 Bi 0.000 0.000 0.500 1
```

- DFT formation energy: -23 meV/atom
- DFT total energy: -7.05 eV/atom
- Total magnetization: 21.1 Bohr magnetons per cell